# Tb5UCo4, optimized geometry, DFT PBE-GGA
data_Tb5UCo4
_chemical_formula_sum 'Tb10 U2 Co8'
_cell_length_a 16.890
_cell_length_b 4.121
_cell_length_c 7.018
_cell_angle_alpha 90.00
_cell_angle_beta 111.74
_cell_angle_gamma 90.00
_symmetry_space_group_name_H-M 'C 1 2/m 1'
_symmetry_Int_Tables_number 12
loop_
_symmetry_equiv_pos_as_xyz
'x,y,z'
'-x,-y,-z'
'-x,y,-z'
'x,-y,z'
'x+1/2,y+1/2,z'
'-x+1/2,-y+1/2,-z'
'-x+1/2,y+1/2,-z'
'x+1/2,-y+1/2,z'
loop_
_atom_site_label
_atom_site_type_symbol
_atom_site_fract_x
_atom_site_fract_y
_atom_site_fract_z
Tb1 Tb 0.000 0.000 0.000
Tb2 Tb 0.162 0.500 0.546
Tb3 Tb 0.177 0.500 0.058
U1 U 0.000 0.000 0.500
Co1 Co 0.016 0.500 0.707
Co2 Co 0.133 0.000 0.780
# Energy of formation, eV per atom: -0.20